No. 1
The following is a PBE calculation of NdPuTl2Se4 after structural relaxation, from Alexandria.

Cell lengths 4.2896, 7.4374, 8.1067 Å; angles 107.81, 90.00, 90.00 degrees
Positions (direct):
Nd1 0.5000 0.5000 0.0000
Pu1 0.0000 0.0000 0.0000
Tl1 0.5000 0.0000 0.5000
Tl2 0.0000 0.5000 0.5000
Se1 0.5000 0.2294 0.2052
Se2 0.5000 0.7706 0.7948
Se3 0.0000 0.2595 0.7897
Se4 0.0000 0.7405 0.2103

Summary:
For the density of states at the Fermi level, the calculation gives 12.1 states/eV/cell. The volume comes out at 246.2 Å³ per cell. As for the space group: P2/m, No. 10. The density is 7.50 g cm⁻³. For the spin magnetization, the calculation gives 0.62 μB per atom. For the formation energy (no corrections), the calculation gives -1.23 eV per atom. The calculation puts the total DFT energy (no corrections) at -47.63 eV for the cell shown.

***

No. 2
The following is a PBE calculation of Nd3PuTl4Se8 after structural relaxation, from Alexandria.

Cell lengths 8.6209, 9.1957, 8.6215 Å; angles 117.96, 120.00, 90.00 degrees
Positions (direct):
Nd1 0.5000 0.5000 0.0000
Nd2 0.5000 0.5000 0.5000
Nd3 0.0000 0.5000 0.5000
Pu1 0.0000 0.5000 0.0000
Tl1 0.5000 0.0000 0.0000
Tl2 0.5000 0.0000 0.5000
Tl3 0.0000 0.0000 0.0000
Tl4 0.0000 0.0000 0.5000
Se1 0.2342 0.7088 0.9747
Se2 0.2342 0.7088 0.4684
Se3 0.2626 0.2880 0.5253
Se4 0.7405 0.7088 0.9747
Se5 0.2595 0.2912 0.0253
Se6 0.7374 0.7120 0.4747
Se7 0.7658 0.2912 0.5316
Se8 0.7658 0.2912 0.0253

Summary:
For the density of states at the Fermi level, the calculation gives 12.7 states/eV/cell. The volume comes out at 497.6 Å³ per cell. As for the space group: R-3m, No. 166. The density is 7.09 g cm⁻³. For the spin magnetization, the calculation gives 0.31 μB per atom. For the formation energy (no corrections), the calculation gives -1.30 eV per atom. The calculation puts the total DFT energy (no corrections) at -86.80 eV for the cell shown.

***

No. 3
The following is a PBE calculation of NdTmPu2Se5 after structural relaxation, from Alexandria.

Cell lengths 5.0761, 5.0761, 10.9527 Å; angles 90.00, 90.00, 90.00 degrees
Positions (direct):
Nd1 0.0000 0.0000 0.0000
Tm1 0.0000 0.0000 0.5000
Pu1 0.5000 0.5000 0.3111
Pu2 0.5000 0.5000 0.6889
Se1 0.0000 0.5000 0.5000
Se2 0.5000 0.0000 0.5000
Se3 0.0000 0.0000 0.7499
Se4 0.0000 0.0000 0.2501
Se5 0.5000 0.5000 0.0000

Summary:
For the density of states at the Fermi level, the calculation gives 31.1 states/eV/cell. The volume comes out at 282.2 Å³ per cell. As for the space group: P4/mmm, No. 123. The density is 7.04 g cm⁻³. For the spin magnetization, the calculation gives 1.31 μB per atom. For the formation energy (no corrections), the calculation gives -1.20 eV per atom. The calculation puts the total DFT energy (no corrections) at -66.16 eV for the cell shown.

***

No. 4
The following is a PBE calculation of Nd2Tm3PuSe6 after structural relaxation, from Alexandria.

Cell lengths 4.0569, 8.3291, 9.2410 Å; angles 104.49, 102.68, 90.00 degrees
Positions (direct):
Nd1 0.8337 0.6669 0.6673
Nd2 0.1663 0.3331 0.3327
Tm1 0.5000 0.5000 0.0000
Tm2 0.8326 0.1640 0.6651
Tm3 0.1674 0.8360 0.3349
Pu1 0.5000 0.0000 0.0000
Se1 0.3309 0.9272 0.6619
Se2 0.6623 0.5952 0.3246
Se3 0.6691 0.0728 0.3381
Se4 0.9955 0.2556 0.9910
Se5 0.0045 0.7444 0.0090
Se6 0.3377 0.4048 0.6754

Summary:
For the density of states at the Fermi level, the calculation gives 9.7 states/eV/cell. The volume comes out at 294.5 Å³ per cell. As for the space group: C2/m, No. 12. The density is 8.53 g cm⁻³. For the spin magnetization, the calculation gives 0.50 μB per atom. For the formation energy (no corrections), the calculation gives -1.72 eV per atom. The calculation puts the total DFT energy (no corrections) at -78.87 eV for the cell shown.